LiZrAsOs, optimized geometry, DFT PBE; total magnetization = 0.001 μB/atom; total energy = -7.009 eV per atom
1.0
6.271 0.000 0.000
0.000 6.271 0.000
0.000 0.000 6.271
Li Zr As Os
4 4 4 4
direct
0.000 0.000 0.000
0.000 0.500 0.500
0.500 0.000 0.500
0.500 0.500 0.000
0.250 0.250 0.750
0.250 0.750 0.250
0.750 0.250 0.250
0.750 0.750 0.750
0.250 0.250 0.250
0.250 0.750 0.750
0.750 0.250 0.750
0.750 0.750 0.250
0.000 0.000 0.500
0.000 0.500 0.000
0.500 0.000 0.000
0.500 0.500 0.500